First-principles (PBE) data for an optimized crystal structure of RbTe3As, as listed in Alexandria.

Values from the calculation:
For the formation energy (no corrections), the calculation gives -1.379 eV per formula unit. The total energy is -3.284 eV per atom. The calculated density comes out at 4.36 g/cm³. Its energy above the most stable polymorph in this dataset is 0 meV/atom. The calculation puts the density of states at the Fermi level at 0.781 states/eV per atom. Its total moment is 0.0 μB/f.u.

abc: 6.6443 6.0448 10.2918
angles: 90.00 90.16 90.00
Sites, in units of the cell vectors:
Rb1 0.1216 0.2500 0.2506
Rb2 0.8784 0.7500 0.7494
Te1 0.2594 0.7500 0.0425
Te2 0.3817 0.0049 0.6523
Te3 0.3817 0.4951 0.6523
Te4 0.6183 0.5049 0.3477
Te5 0.6183 0.9951 0.3477
Te6 0.7406 0.2500 0.9575
As1 0.3706 0.2500 0.8791
As2 0.6294 0.7500 0.1209